No. 1
An optimized crystal structure of Na3ZrTi2Se6. Source: Alexandria, functional PBE.

a = 6.5914 Å, b = 6.5914 Å, c = 7.4078 Å
α = 98.51°, β = 98.51°, γ = 120.23°
Closest atoms and distances in Å follow each position.
Element x y z (fractional)
Na (0.0000, 0.0000, 0.0000)  6 Se 2.95-2.96
Na (0.3403, 0.6597, 0.0000)  6 Se 2.96-2.99
Na (0.6597, 0.3403, 0.0000)  6 Se 2.96-2.99
Zr (0.5000, 0.5000, 0.5000)  6 Se 2.71-2.74
Ti (0.1789, 0.8211, 0.5000)  6 Se 2.59-2.72
Ti (0.8211, 0.1789, 0.5000)  6 Se 2.59-2.72
Se (0.0836, 0.4234, 0.2785)  2 Ti 2.59-2.66, 1 Zr 2.74
Se (0.2251, 0.2251, 0.7094)  1 Zr 2.71, 2 Ti 2.72, 3 Na 2.95-2.99
Se (0.4234, 0.0836, 0.2785)  2 Ti 2.59-2.66, 1 Zr 2.74
Se (0.5766, 0.9164, 0.7215)  2 Ti 2.59-2.66, 1 Zr 2.74
Se (0.7749, 0.7749, 0.2906)  1 Zr 2.71, 2 Ti 2.72, 3 Na 2.95-2.99
Se (0.9164, 0.5766, 0.7215)  2 Ti 2.59-2.66, 1 Zr 2.74

Calculated values
Its density is 4.56 Mg/m³. Its crystal system is monoclinic. The uncorrected formation energy is -1.22 eV/atom.

=====

No. 2
An optimized crystal structure of Na3Zr3TiSe8. Source: Alexandria, functional PBE.

a = 8.5066 Å, b = 8.5066 Å, c = 8.5066 Å
α = 52.85°, β = 52.85°, γ = 52.85°
Closest atoms and distances in Å follow each position.
Element x y z (fractional)
Na (0.0000, 0.5000, 0.5000)  6 Se 2.96-2.99
Na (0.5000, 0.0000, 0.5000)  6 Se 2.96-2.99
Na (0.5000, 0.5000, 0.0000)  6 Se 2.96-2.99
Zr (0.0000, 0.0000, 0.5000)  6 Se 2.72-2.74
Zr (0.0000, 0.5000, 0.0000)  6 Se 2.72-2.74
Zr (0.5000, 0.0000, 0.0000)  6 Se 2.72-2.74
Ti (0.5000, 0.5000, 0.5000)  6 Se 2.66
Se (0.2423, 0.2423, 0.2423)  3 Zr 2.74, 3 Na 2.96
Se (0.2468, 0.7353, 0.7353)  1 Ti 2.66, 2 Zr 2.72
Se (0.2647, 0.2647, 0.7532)  1 Ti 2.66, 2 Zr 2.72
Se (0.2647, 0.7532, 0.2647)  1 Ti 2.66, 2 Zr 2.72
Se (0.7353, 0.2468, 0.7353)  1 Ti 2.66, 2 Zr 2.72
Se (0.7353, 0.7353, 0.2468)  1 Ti 2.66, 2 Zr 2.72
Se (0.7532, 0.2647, 0.2647)  1 Ti 2.66, 2 Zr 2.72
Se (0.7577, 0.7577, 0.7577)  3 Zr 2.74, 3 Na 2.96

Calculated values
Its density is 4.69 Mg/m³. Its crystal system is trigonal. The uncorrected formation energy is -1.30 eV/atom.